A relaxed structure of LiScMo2, computed with PBE.

Its density of states at the Fermi level is 2.735 states/eV/cell. For the relative energy among the computed polymorphs, the calculation gives 72 meV per atom. As for the calculated density: 6.1 Mg/m³. Its formation energy from the elements is 1.02 eV per formula unit. Its space group is P4/mmm, No. 123.

```
LiScMo2
1.0
-4.0308 -2.1942 -0.8060
0.4248 -1.9535 3.1936
-1.8418 2.6892 1.8899
Mo Li Sc
2 1 1
Direct
0.0000 0.0000 0.0000
0.0000 0.5000 0.5000
0.5000 0.0000 0.5000
0.5000 0.5000 0.0000
```